i.
Density functional theory data (PBE) for a relaxed NdB4Os crystal.

Cell: 3.258 3.258 6.989 Å, 90.00 90.00 120.00°
Element x y z (fractional)
Nd 0.000 0.000 0.000
B 0.333 0.667 0.295
B 0.333 0.667 0.705
B 0.667 0.333 0.295
B 0.667 0.333 0.705
Os 0.000 0.000 0.500

Space-group type   P6/mmm

***

ii.
Density functional theory data (PBE) for a relaxed NdB4Os crystal.

Cell: 4.904 4.904 4.904 Å, 142.18 112.93 79.65°
Element x y z (fractional)
Nd 0.000 0.000 0.000
B 0.088 0.753 0.336
B 0.417 0.753 0.664
B 0.583 0.247 0.336
B 0.912 0.247 0.664
Os 0.500 0.500 0.000

Space-group type   Immm

***

Question: which arrangement is favored energetically? Ranking from most to least stable: i, ii.

***

i.
Density functional theory data (PBE) for a relaxed NdB4Pb crystal.

Cell: 5.459 5.459 5.459 Å, 145.23 120.16 71.10°
Element x y z (fractional)
Nd 0.000 0.000 0.000
B 0.070 0.743 0.327
B 0.416 0.743 0.673
B 0.584 0.257 0.327
B 0.930 0.257 0.673
Pb 0.500 0.500 0.000

Space-group type   Immm

***

ii.
Density functional theory data (PBE) for a relaxed NdB4Pb crystal.

Cell: 3.273 3.273 8.744 Å, 90.00 90.00 120.00°
Element x y z (fractional)
Nd 0.000 0.000 0.000
B 0.333 0.667 0.233
B 0.333 0.667 0.767
B 0.667 0.333 0.233
B 0.667 0.333 0.767
Pb 0.000 0.000 0.500

Space-group type   P6/mmm

***

Question: which arrangement is favored energetically? Ranking from most to least stable: i, ii.

***

i.
Density functional theory data (PBE) for a relaxed NdBPd crystal.

Cell: 4.311 4.311 4.311 Å, 60.00 60.00 60.00°
Element x y z (fractional)
Nd 0.000 0.000 0.000
B 0.250 0.250 0.250
Pd 0.500 0.500 0.500

Space-group type   F-43m

***

ii.
Density functional theory data (PBE) for a relaxed NdBPd crystal.

Cell: 4.443 4.443 4.443 Å, 60.00 60.00 60.00°
Element x y z (fractional)
Nd 0.000 0.000 0.000
B 0.500 0.500 0.500
Pd 0.750 0.750 0.750

Space-group type   F-43m

***

Question: which arrangement is favored energetically? Ranking from most to least stable: i, ii.